Entry 1:
# Zn2PPt | Alexandria via LeMat-Bulk | GGA-PBE | relaxed
data_Zn2PPt
_chemical_formula_sum 'Zn4 P2 Pt2'
_cell_length_a 11.871
_cell_length_b 2.796
_cell_length_c 4.215
_cell_angle_alpha 90.00
_cell_angle_beta 110.72
_cell_angle_gamma 90.00
_space_group_name_H-M_alt 'C 1 m 1'
_space_group_IT_number 8
_space_group_name_Hall 'C -2y'
loop_
_atom_site_label
_atom_site_type_symbol
_atom_site_fract_x
_atom_site_fract_y
_atom_site_fract_z
Zn1 Zn 0.000 0.000 0.000
Zn2 Zn 0.171 0.000 0.670
P1 P 0.269 0.500 0.268
Pt1 Pt 0.451 0.000 0.451
# **E_form**: -71 kJ/mol of formula units
# **Spin magnetization**: 0.000 μB/f.u.
# **DOS(E_F)**: 0.311 states/eV per atom
# **Crystal system**: monoclinic

Entry 2:
# ZnP2Pt | Alexandria via LeMat-Bulk | GGA-PBE | relaxed
data_ZnP2Pt
_chemical_formula_sum 'Zn1 P2 Pt1'
_cell_length_a 2.990
_cell_length_b 2.990
_cell_length_c 6.927
_cell_angle_alpha 90.00
_cell_angle_beta 90.00
_cell_angle_gamma 90.00
_space_group_name_H-M_alt 'P 4/m m m'
_space_group_IT_number 123
_space_group_name_Hall '-P 4 2'
loop_
_atom_site_label
_atom_site_type_symbol
_atom_site_fract_x
_atom_site_fract_y
_atom_site_fract_z
Zn1 Zn 0.000 0.000 0.000
P1 P 0.500 0.500 0.269
Pt1 Pt 0.000 0.000 0.500
# **E_form**: 86 kJ/mol of formula units
# **Spin magnetization**: 0.000 μB/f.u.
# **DOS(E_F)**: 0.380 states/eV per atom
# **Crystal system**: tetragonal

Entry 3:
# ZnP2Pt | Alexandria via LeMat-Bulk | GGA-PBE | relaxed
data_ZnP2Pt
_chemical_formula_sum 'Zn1 P2 Pt1'
_cell_length_a 3.564
_cell_length_b 3.564
_cell_length_c 5.020
_cell_angle_alpha 90.00
_cell_angle_beta 90.00
_cell_angle_gamma 90.00
_space_group_name_H-M_alt 'P 4/m m m'
_space_group_IT_number 123
_space_group_name_Hall '-P 4 2'
loop_
_atom_site_label
_atom_site_type_symbol
_atom_site_fract_x
_atom_site_fract_y
_atom_site_fract_z
Zn1 Zn 0.000 0.000 0.000
P1 P 0.000 0.000 0.500
P2 P 0.500 0.500 0.000
Pt1 Pt 0.500 0.500 0.500
# **E_form**: -2 kJ/mol of formula units
# **Spin magnetization**: 0.000 μB/f.u.
# **DOS(E_F)**: 0.623 states/eV per atom
# **Crystal system**: tetragonal